# CsTbSnSe3, optimized geometry, DFT PBE
data_CsTbSnSe3
_chemical_formula_sum 'Cs2 Tb2 Sn2 Se6'
_symmetry_space_group_name_H-M 'P 1 21/m 1'
_symmetry_Int_Tables_number 11
_cell_length_a 9.295
_cell_length_b 4.231
_cell_length_c 11.769
_cell_angle_alpha 90.00
_cell_angle_beta 110.19
_cell_angle_gamma 90.00
loop_
_symmetry_equiv_pos_as_xyz
'x,y,z'
'-x,-y,-z'
'-x,y+1/2,-z'
'x,-y+1/2,z'
loop_
_atom_site_label
_atom_site_fract_x
_atom_site_fract_y
_atom_site_fract_z
Cs1 0.224 0.250 0.262
Tb1 0.367 0.750 0.852
Sn1 0.142 0.250 0.567
Se1 0.131 0.250 0.790
Se2 0.346 0.750 0.596
Se3 0.410 0.750 0.103
# ΔE_f (raw) (eV per atom): -1.316
# Size of the total moment (μB per cell): 0.00

# Y2MgAl, optimized geometry, DFT PBE
data_Y2MgAl
_chemical_formula_sum 'Y4 Mg2 Al2'
_symmetry_space_group_name_H-M 'I -4 m 2'
_symmetry_Int_Tables_number 119
_symmetry_space_group_name_Hall 'I -4 -2'
_cell_length_a 4.510
_cell_length_b 4.510
_cell_length_c 10.065
_cell_angle_alpha 90.00
_cell_angle_beta 90.00
_cell_angle_gamma 90.00
loop_
_atom_site_label
_atom_site_fract_x
_atom_site_fract_y
_atom_site_fract_z
Y1 0.000 0.000 0.000
Y2 0.000 0.500 0.250
Mg1 0.000 0.000 0.500
Al1 0.000 0.500 0.750
# Formation energy from the elements (eV per atom): -0.123
# Size of the total moment (μB per cell): 0.00
# E above lowest polymorph (eV per atom): 0.180

# AcTbPr2Ho4, optimized geometry, DFT PBE
data_AcTbPr2Ho4
_chemical_formula_sum 'Ac4 Tb4 Pr8 Ho16'
_symmetry_space_group_name_H-M 'I m m a'
_symmetry_Int_Tables_number 74
_symmetry_space_group_name_Hall '-I 2b 2'
_cell_length_a 6.924
_cell_length_b 11.999
_cell_length_c 13.461
_cell_angle_alpha 90.00
_cell_angle_beta 90.00
_cell_angle_gamma 90.00
loop_
_atom_site_label
_atom_site_fract_x
_atom_site_fract_y
_atom_site_fract_z
Ac1 0.000 0.000 0.000
Tb1 0.250 0.250 0.250
Pr1 0.000 0.000 0.500
Pr2 0.250 0.250 0.750
Ho1 0.000 0.005 0.258
Ho2 0.238 0.250 0.495
# Formation energy from the elements (eV per atom): 0.422
# Size of the total moment (μB per cell): 0.69

# PtWN3, optimized geometry, DFT PBE
data_PtWN3
_chemical_formula_sum 'Pt1 W1 N3'
_symmetry_space_group_name_H-M 'P m -3 m'
_symmetry_Int_Tables_number 221
_symmetry_space_group_name_Hall '-P 4 2 3'
_cell_length_a 3.847
_cell_length_b 3.847
_cell_length_c 3.847
_cell_angle_alpha 90.00
_cell_angle_beta 90.00
_cell_angle_gamma 90.00
loop_
_atom_site_label
_atom_site_fract_x
_atom_site_fract_y
_atom_site_fract_z
Pt1 0.000 0.000 0.000
W1 0.500 0.500 0.500
N1 0.000 0.000 0.500
# ΔE_f (raw) (eV per atom): 2.106
# Size of the total moment (μB per cell): 0.00

# SrSc2Cl, optimized geometry, DFT PBE
data_SrSc2Cl
_chemical_formula_sum 'Sr1 Sc2 Cl1'
_symmetry_space_group_name_H-M 'P 4 m m'
_symmetry_Int_Tables_number 99
_cell_length_a 3.463
_cell_length_b 3.463
_cell_length_c 9.248
_cell_angle_alpha 90.00
_cell_angle_beta 90.00
_cell_angle_gamma 90.00
loop_
_symmetry_equiv_pos_as_xyz
'x,y,z'
'-y,x,z'
'-x,-y,z'
'y,-x,z'
'-x,y,z'
'y,x,z'
'x,-y,z'
'-y,-x,z'
loop_
_atom_site_label
_atom_site_fract_x
_atom_site_fract_y
_atom_site_fract_z
Sr1 0.000 0.000 0.000
Sc1 0.000 0.000 0.470
Sc2 0.500 0.500 0.690
Cl1 0.500 0.500 0.225
# ΔE_f (raw) (eV per atom): -0.494
# Size of the total moment (μB per cell): 0.21
# E above lowest polymorph (eV per atom): 0.083

# CeTmPa2P4, optimized geometry, DFT PBE
data_CeTmPa2P4
_chemical_formula_sum 'Ce1 Tm1 Pa2 P4'
_symmetry_space_group_name_H-M 'P 1 2/m 1'
_symmetry_Int_Tables_number 10
_cell_length_a 6.905
_cell_length_b 3.988
_cell_length_c 6.908
_cell_angle_alpha 90.00
_cell_angle_beta 109.48
_cell_angle_gamma 90.00
loop_
_symmetry_equiv_pos_as_xyz
'x,y,z'
'-x,-y,-z'
'-x,y,-z'
'x,-y,z'
loop_
_atom_site_label
_atom_site_fract_x
_atom_site_fract_y
_atom_site_fract_z
Ce1 0.000 0.000 0.000
Tm1 0.500 0.500 0.000
Pa1 0.000 0.500 0.500
Pa2 0.500 0.000 0.500
P1 0.253 0.000 0.747
P2 0.256 0.500 0.255
# Formation energy from the elements (eV per atom): -1.424
# Size of the total moment (μB per cell): 0.01

# DyAlGa6, optimized geometry, DFT PBE
data_DyAlGa6
_chemical_formula_sum 'Dy1 Al1 Ga6'
_symmetry_space_group_name_H-M 'P 4/m m m'
_symmetry_Int_Tables_number 123
_symmetry_space_group_name_Hall '-P 4 2'
_cell_length_a 4.209
_cell_length_b 4.209
_cell_length_c 8.482
_cell_angle_alpha 90.00
_cell_angle_beta 90.00
_cell_angle_gamma 90.00
loop_
_atom_site_label
_atom_site_fract_x
_atom_site_fract_y
_atom_site_fract_z
Dy1 0.000 0.000 0.000
Al1 0.000 0.000 0.500
Ga1 0.000 0.500 0.266
Ga2 0.500 0.500 0.000
Ga3 0.500 0.500 0.500
# Formation energy from the elements (eV per atom): -0.215
# Size of the total moment (μB per cell): 0.00
# E above lowest polymorph (eV per atom): 0.000

# Ac2Ge2Ir2C, optimized geometry, DFT PBE
data_Ac2Ge2Ir2C
_chemical_formula_sum 'Ac4 Ge4 Ir4 C2'
_symmetry_space_group_name_H-M 'C 1 2/m 1'
_symmetry_Int_Tables_number 12
_cell_length_a 11.735
_cell_length_b 4.286
_cell_length_c 7.486
_cell_angle_alpha 90.00
_cell_angle_beta 127.20
_cell_angle_gamma 90.00
loop_
_symmetry_equiv_pos_as_xyz
'x,y,z'
'-x,-y,-z'
'-x,y,-z'
'x,-y,z'
'x+1/2,y+1/2,z'
'-x+1/2,-y+1/2,-z'
'-x+1/2,y+1/2,-z'
'x+1/2,-y+1/2,z'
loop_
_atom_site_label
_atom_site_fract_x
_atom_site_fract_y
_atom_site_fract_z
Ac1 0.062 0.000 0.307
Ge1 0.179 0.500 0.724
Ir1 0.184 0.500 0.067
C1 0.000 0.500 0.000
# Formation energy from the elements (eV per atom): -0.612
# Size of the total moment (μB per cell): 0.00

# Li6Ga12Ir, optimized geometry, DFT PBE
data_Li6Ga12Ir
_chemical_formula_sum 'Li18 Ga36 Ir3'
_symmetry_space_group_name_H-M 'R -3'
_symmetry_Int_Tables_number 148
_symmetry_space_group_name_Hall '-R 3'
_cell_length_a 10.0745
_cell_length_b 10.0745
_cell_length_c 10.7370
_cell_angle_alpha 90.00
_cell_angle_beta 90.00
_cell_angle_gamma 120.00
loop_
_atom_site_label
_atom_site_fract_x
_atom_site_fract_y
_atom_site_fract_z
Li1 0.0251 0.4298 0.2137
Ga1 0.0521 0.8603 0.9023
Ga2 0.0526 0.1893 0.3232
Ir1 0.0000 0.0000 0.5000
# Formation energy from the elements (eV per atom): -0.273
# Size of the total moment (μB per cell): 0.00

# La4Y3Er2, optimized geometry, DFT PBE
data_La4Y3Er2
_chemical_formula_sum 'La8 Y6 Er4'
_symmetry_space_group_name_H-M 'C 1 2/m 1'
_symmetry_Int_Tables_number 12
_cell_length_a 15.418
_cell_length_b 5.174
_cell_length_c 8.089
_cell_angle_alpha 90.00
_cell_angle_beta 108.35
_cell_angle_gamma 90.00
loop_
_symmetry_equiv_pos_as_xyz
'x,y,z'
'-x,-y,-z'
'-x,y,-z'
'x,-y,z'
'x+1/2,y+1/2,z'
'-x+1/2,-y+1/2,-z'
'-x+1/2,y+1/2,-z'
'x+1/2,-y+1/2,z'
loop_
_atom_site_label
_atom_site_fract_x
_atom_site_fract_y
_atom_site_fract_z
La1 0.055 0.000 0.329
La2 0.223 0.500 0.331
Y1 0.000 0.500 0.000
Y2 0.112 0.500 0.671
Er1 0.168 0.000 0.000
# Formation energy from the elements (eV per atom): 0.032
# Size of the total moment (μB per cell): 0.00
# E above lowest polymorph (eV per atom): 0.000

# CsLaTc2O7, optimized geometry, DFT PBE
data_CsLaTc2O7
_chemical_formula_sum 'Cs1 La1 Tc2 O7'
_symmetry_space_group_name_H-M 'P 4/m m m'
_symmetry_Int_Tables_number 123
_symmetry_space_group_name_Hall '-P 4 2'
_cell_length_a 3.944
_cell_length_b 3.944
_cell_length_c 10.911
_cell_angle_alpha 90.00
_cell_angle_beta 90.00
_cell_angle_gamma 90.00
loop_
_atom_site_label
_atom_site_fract_x
_atom_site_fract_y
_atom_site_fract_z
Cs1 0.000 0.000 0.000
La1 0.000 0.000 0.500
Tc1 0.500 0.500 0.308
O1 0.000 0.500 0.339
O2 0.500 0.500 0.145
O3 0.500 0.500 0.500
# ΔE_f (raw) (eV per atom): -1.918
# Size of the total moment (μB per cell): 3.03

# Ce3Sn4Au4, optimized geometry, DFT PBE
data_Ce3Sn4Au4
_chemical_formula_sum 'Ce6 Sn8 Au8'
_symmetry_space_group_name_H-M 'I m m m'
_symmetry_Int_Tables_number 71
_symmetry_space_group_name_Hall '-I 2 2'
_cell_length_a 4.457
_cell_length_b 7.624
_cell_length_c 16.140
_cell_angle_alpha 90.00
_cell_angle_beta 90.00
_cell_angle_gamma 90.00
loop_
_atom_site_label
_atom_site_fract_x
_atom_site_fract_y
_atom_site_fract_z
Ce1 0.000 0.000 0.000
Ce2 0.000 0.500 0.120
Sn1 0.000 0.298 0.337
Au1 0.000 0.000 0.216
Au2 0.000 0.187 0.500
# Formation energy from the elements (eV per atom): -0.521
# Size of the total moment (μB per cell): 6.26

# Tm2GaH, optimized geometry, DFT PBE
data_Tm2GaH
_chemical_formula_sum 'Tm6 Ga3 H3'
_symmetry_space_group_name_H-M 'R -3 m'
_symmetry_Int_Tables_number 166
_symmetry_space_group_name_Hall '-R 3 2"'
_cell_length_a 3.5417
_cell_length_b 3.5417
_cell_length_c 21.2265
_cell_angle_alpha 90.00
_cell_angle_beta 90.00
_cell_angle_gamma 120.00
loop_
_atom_site_label
_atom_site_fract_x
_atom_site_fract_y
_atom_site_fract_z
Tm1 0.0000 0.0000 0.2313
Ga1 0.0000 0.0000 0.0000
H1 0.0000 0.0000 0.5000
# Size of the total moment (μB per cell): 0.00
# E above lowest polymorph (eV per atom): 0.152

# CdTe2Ir, optimized geometry, DFT PBE
data_CdTe2Ir
_chemical_formula_sum 'Cd3 Te6 Ir3'
_symmetry_space_group_name_H-M 'R -3 m'
_symmetry_Int_Tables_number 166
_symmetry_space_group_name_Hall '-R 3 2"'
_cell_length_a 4.0551
_cell_length_b 4.0551
_cell_length_c 25.5153
_cell_angle_alpha 90.00
_cell_angle_beta 90.00
_cell_angle_gamma 120.00
loop_
_atom_site_label
_atom_site_fract_x
_atom_site_fract_y
_atom_site_fract_z
Cd1 0.0000 0.0000 0.0000
Te1 0.0000 0.0000 0.1156
Ir1 0.0000 0.0000 0.5000
# ΔE_f (raw) (eV per atom): -0.088
# Size of the total moment (μB per cell): 0.00

# TbSm6Tm12, optimized geometry, DFT PBE
data_TbSm6Tm12
_chemical_formula_sum 'Tb3 Sm18 Tm36'
_symmetry_space_group_name_H-M 'R -3 m'
_symmetry_Int_Tables_number 166
_symmetry_space_group_name_Hall '-R 3 2"'
_cell_length_a 10.9797
_cell_length_b 10.9797
_cell_length_c 17.2876
_cell_angle_alpha 90.00
_cell_angle_beta 90.00
_cell_angle_gamma 120.00
loop_
_atom_site_label
_atom_site_fract_x
_atom_site_fract_y
_atom_site_fract_z
Tb1 0.0000 0.0000 0.0000
Sm1 0.0696 0.5348 0.7667
Tm1 0.1018 0.5509 0.4140
Tm2 0.1062 0.2124 0.4080
# Formation energy from the elements (eV per atom): 0.123
# Size of the total moment (μB per cell): 0.00
# E above lowest polymorph (eV per atom): 0.000

# La2TbDy2Y2, optimized geometry, DFT PBE
data_La2TbDy2Y2
_chemical_formula_sum 'La4 Tb2 Dy4 Y4'
_symmetry_space_group_name_H-M 'C 1 2/m 1'
_symmetry_Int_Tables_number 12
_cell_length_a 11.857
_cell_length_b 3.535
_cell_length_c 11.952
_cell_angle_alpha 90.00
_cell_angle_beta 108.67
_cell_angle_gamma 90.00
loop_
_symmetry_equiv_pos_as_xyz
'x,y,z'
'-x,-y,-z'
'-x,y,-z'
'x,-y,z'
'x+1/2,y+1/2,z'
'-x+1/2,-y+1/2,-z'
'-x+1/2,y+1/2,-z'
'x+1/2,-y+1/2,z'
loop_
_atom_site_label
_atom_site_fract_x
_atom_site_fract_y
_atom_site_fract_z
La1 0.172 0.000 0.085
Tb1 0.000 0.500 0.500
Dy1 0.228 0.500 0.367
Y1 0.048 0.000 0.768
# Formation energy from the elements (eV per atom): 0.084
# Size of the total moment (μB per cell): 0.00

# Nd4Bi2TeSe, optimized geometry, DFT PBE
data_Nd4Bi2TeSe
_chemical_formula_sum 'Nd4 Bi2 Te1 Se1'
_symmetry_space_group_name_H-M 'P 1 2/m 1'
_symmetry_Int_Tables_number 10
_cell_length_a 7.754
_cell_length_b 4.504
_cell_length_c 7.805
_cell_angle_alpha 90.00
_cell_angle_beta 109.62
_cell_angle_gamma 90.00
loop_
_symmetry_equiv_pos_as_xyz
'x,y,z'
'-x,-y,-z'
'-x,y,-z'
'x,-y,z'
loop_
_atom_site_label
_atom_site_fract_x
_atom_site_fract_y
_atom_site_fract_z
Nd1 0.237 0.000 0.237
Nd2 0.243 0.500 0.757
Bi1 0.500 0.000 0.000
Bi2 0.500 0.500 0.500
Te1 0.000 0.000 0.500
Se1 0.000 0.500 0.000
# ΔE_f (raw) (eV per atom): -1.279
# Size of the total moment (μB per cell): 0.00

# HfGa2Mo, optimized geometry, DFT PBE
data_HfGa2Mo
_chemical_formula_sum 'Hf4 Ga8 Mo4'
_symmetry_space_group_name_H-M 'P n m a'
_symmetry_Int_Tables_number 62
_cell_length_a 7.161
_cell_length_b 3.633
_cell_length_c 10.448
_cell_angle_alpha 90.00
_cell_angle_beta 90.00
_cell_angle_gamma 90.00
loop_
_symmetry_equiv_pos_as_xyz
'x,y,z'
'-x,-y,-z'
'-x+1/2,-y,z+1/2'
'x+1/2,y,-z+1/2'
'x+1/2,-y+1/2,-z+1/2'
'-x+1/2,y+1/2,z+1/2'
'-x,y+1/2,-z'
'x,-y+1/2,z'
loop_
_atom_site_label
_atom_site_fract_x
_atom_site_fract_y
_atom_site_fract_z
Hf1 0.238 0.250 0.198
Ga1 0.061 0.250 0.839
Ga2 0.205 0.750 0.985
Mo1 0.051 0.750 0.408
# Formation energy from the elements (eV per atom): -0.325
# Size of the total moment (μB per cell): 0.00
# E above lowest polymorph (eV per atom): 0.000

# Fe2NiCl, optimized geometry, DFT PBE
data_Fe2NiCl
_chemical_formula_sum 'Fe6 Ni3 Cl3'
_symmetry_space_group_name_H-M 'R 3 m'
_symmetry_Int_Tables_number 160
_symmetry_space_group_name_Hall 'R 3 -2"'
_cell_length_a 2.9044
_cell_length_b 2.9044
_cell_length_c 22.4542
_cell_angle_alpha 90.00
_cell_angle_beta 90.00
_cell_angle_gamma 120.00
loop_
_atom_site_label
_atom_site_fract_x
_atom_site_fract_y
_atom_site_fract_z
Fe1 0.0000 0.0000 0.0000
Fe2 0.0000 0.0000 0.2516
Ni1 0.0000 0.0000 0.5059
Cl1 0.0000 0.0000 0.7459
# ΔE_f (raw) (eV per atom): 0.230
# Size of the total moment (μB per cell): 18.97
# E above lowest polymorph (eV per atom): 0.101

# Ba2Ge2Ru2N, optimized geometry, DFT PBE
data_Ba2Ge2Ru2N
_chemical_formula_sum 'Ba4 Ge4 Ru4 N2'
_symmetry_space_group_name_H-M 'C 1 2/m 1'
_symmetry_Int_Tables_number 12
_cell_length_a 11.882
_cell_length_b 4.225
_cell_length_c 7.794
_cell_angle_alpha 90.00
_cell_angle_beta 124.57
_cell_angle_gamma 90.00
loop_
_symmetry_equiv_pos_as_xyz
'x,y,z'
'-x,-y,-z'
'-x,y,-z'
'x,-y,z'
'x+1/2,y+1/2,z'
'-x+1/2,-y+1/2,-z'
'-x+1/2,y+1/2,-z'
'x+1/2,-y+1/2,z'
loop_
_atom_site_label
_atom_site_fract_x
_atom_site_fract_y
_atom_site_fract_z
Ba1 0.058 0.000 0.311
Ge1 0.197 0.500 0.763
Ru1 0.178 0.500 0.064
N1 0.000 0.500 0.000
# ΔE_f (raw) (eV per atom): -0.517
# Size of the total moment (μB per cell): 0.00

# Ba4CuPdI2, optimized geometry, DFT PBE
data_Ba4CuPdI2
_chemical_formula_sum 'Ba4 Cu1 Pd1 I2'
_symmetry_space_group_name_H-M 'P 1 2/m 1'
_symmetry_Int_Tables_number 10
_cell_length_a 8.081
_cell_length_b 4.674
_cell_length_c 9.245
_cell_angle_alpha 90.00
_cell_angle_beta 107.00
_cell_angle_gamma 90.00
loop_
_symmetry_equiv_pos_as_xyz
'x,y,z'
'-x,-y,-z'
'-x,y,-z'
'x,-y,z'
loop_
_atom_site_label
_atom_site_fract_x
_atom_site_fract_y
_atom_site_fract_z
Ba1 0.230 0.000 0.204
Ba2 0.261 0.500 0.794
Cu1 0.500 0.000 0.000
Pd1 0.000 0.500 0.000
I1 0.000 0.000 0.500
I2 0.500 0.500 0.500
# ΔE_f (raw) (eV per atom): -0.827
# Size of the total moment (μB per cell): 0.00

# TbSm2Tl2, optimized geometry, DFT PBE
data_TbSm2Tl2
_chemical_formula_sum 'Tb2 Sm4 Tl4'
_symmetry_space_group_name_H-M 'P 1 21/m 1'
_symmetry_Int_Tables_number 11
_cell_length_a 3.802
_cell_length_b 5.440
_cell_length_c 14.386
_cell_angle_alpha 90.00
_cell_angle_beta 97.62
_cell_angle_gamma 90.00
loop_
_symmetry_equiv_pos_as_xyz
'x,y,z'
'-x,-y,-z'
'-x,y+1/2,-z'
'x,-y+1/2,z'
loop_
_atom_site_label
_atom_site_fract_x
_atom_site_fract_y
_atom_site_fract_z
Tb1 0.148 0.250 0.298
Sm1 0.049 0.750 0.097
Sm2 0.238 0.750 0.475
Tl1 0.356 0.250 0.711
Tl2 0.450 0.750 0.899
# Formation energy from the elements (eV per atom): -0.292
# Size of the total moment (μB per cell): 0.00
# E above lowest polymorph (eV per atom): 0.000

# V2AgRh, optimized geometry, DFT PBE
data_V2AgRh
_chemical_formula_sum 'V8 Ag4 Rh4'
_symmetry_space_group_name_H-M 'I -4 2 d'
_symmetry_Int_Tables_number 122
_symmetry_space_group_name_Hall 'I -4 2bw'
_cell_length_a 6.971
_cell_length_b 6.971
_cell_length_c 5.291
_cell_angle_alpha 90.00
_cell_angle_beta 90.00
_cell_angle_gamma 90.00
loop_
_atom_site_label
_atom_site_fract_x
_atom_site_fract_y
_atom_site_fract_z
V1 0.216 0.250 0.125
Ag1 0.000 0.000 0.500
Rh1 0.000 0.000 0.000
# Formation energy from the elements (eV per atom): 0.459
# Size of the total moment (μB per cell): 0.00